a.
This record from OQMD describes HoAsIrO after structural relaxation. The functional is GGA-PBE.

Unit cell a=3.340 b=7.942 c=5.364 alpha=90.00 beta=90.00 gamma=90.00
Space group Pmc2_1 (No. 26)
One atom of each set of equivalent atoms:
Ho1 0.000 0.200 0.000 x2
As1 0.000 0.428 0.502 x2
Ir1 0.500 0.211 0.482 x2
O1 0.500 0.046 0.914 x2

Properties
Its crystal system is orthorhombic. As for the total magnetization: 0.00 Bohr magnetons per cell. For the calculated density, the calculation gives 10.458 g/cm3.


b.
This record from OQMD describes HoAsIrO after structural relaxation. The functional is GGA-PBE.

Unit cell a=4.022 b=4.022 c=8.049 alpha=90.00 beta=90.00 gamma=90.00
Space group P4/nmm (No. 129, origin choice 2)
One atom of each set of equivalent atoms:
Ho1 0.250 0.250 0.130 x2
As1 0.250 0.250 0.679 x2
Ir1 0.250 0.750 0.500 x2
O1 0.250 0.750 0.000 x2

Properties
Its crystal system is tetragonal. As for the total magnetization: 0.00 Bohr magnetons per cell. For the calculated density, the calculation gives 11.429 g/cm3.


Most stable to least stable, the ends of the list are b and a.


a.
This record from OQMD describes HoAsIrO after structural relaxation. The functional is GGA-PBE.

Unit cell a=4.457 b=4.156 c=7.127 alpha=90.00 beta=90.00 gamma=90.00
Space group Pmc2_1 (No. 26)
One atom of each set of equivalent atoms:
Ho1 0.000 0.248 0.000 x2
As1 0.500 0.249 0.671 x2
Ir1 0.500 0.251 0.336 x2
O1 0.000 0.250 0.334 x2

Properties
Its crystal system is orthorhombic. As for the total magnetization: 0.00 Bohr magnetons per cell. For the calculated density, the calculation gives 11.273 g/cm3.


b.
This record from OQMD describes HoAsIrO after structural relaxation. The functional is GGA-PBE.

Unit cell a=5.487 b=5.487 c=4.595 alpha=90.00 beta=90.00 gamma=90.00
Space group P4/nmm (No. 129, origin choice 2)
One atom of each set of equivalent atoms:
Ho1 0.250 0.750 0.000 x2
As1 0.250 0.250 0.499 x2
Ir1 0.250 0.250 0.999 x2
O1 0.250 0.750 0.500 x2

Properties
Its crystal system is tetragonal. As for the total magnetization: 0.00 Bohr magnetons per cell. For the calculated density, the calculation gives 10.758 g/cm3.


Most stable to least stable, the ends of the list are a and b.


a.
This record from OQMD describes KHoAsO after structural relaxation. The functional is GGA-PBE.

Unit cell a=3.426 b=7.809 c=7.769 alpha=90.00 beta=90.00 gamma=90.00
Space group Pmc2_1 (No. 26)
One atom of each set of equivalent atoms:
K1 0.000 0.050 0.000 x2
Ho1 0.500 0.367 0.354 x2
As1 0.500 0.295 0.716 x2
O1 0.000 0.235 0.281 x2

Properties
Its crystal system is orthorhombic. As for the total magnetization: 0.00 Bohr magnetons per cell. For the calculated density, the calculation gives 4.712 g/cm3.


b.
This record from OQMD describes KHoAsO after structural relaxation. The functional is GGA-PBE.

Unit cell a=5.785 b=5.785 c=5.187 alpha=90.00 beta=90.00 gamma=90.00
Space group P4/nmm (No. 129, origin choice 2)
One atom of each set of equivalent atoms:
K1 0.250 0.250 0.004 x2
Ho1 0.250 0.750 0.500 x2
As1 0.250 0.250 0.504 x2
O1 0.250 0.750 0.000 x2

Properties
Its crystal system is tetragonal. As for the total magnetization: 0.00 Bohr magnetons per cell. For the calculated density, the calculation gives 5.644 g/cm3.


c.
This record from OQMD describes KHoAsO after structural relaxation. The functional is GGA-PBE.

Unit cell a=4.008 b=4.008 c=10.817 alpha=90.00 beta=90.00 gamma=90.00
Space group P4/nmm (No. 129, origin choice 2)
One atom of each set of equivalent atoms:
K1 0.250 0.750 0.000 x2
Ho1 0.250 0.250 0.405 x2
As1 0.250 0.250 0.769 x2
O1 0.250 0.750 0.500 x2

Properties
Its crystal system is tetragonal. As for the total magnetization: 0.01 Bohr magnetons per cell. For the calculated density, the calculation gives 5.636 g/cm3.


Most stable to least stable, the ends of the list are a and b.


a.
This record from OQMD describes LaHoAsO after structural relaxation. The functional is GGA-PBE.

Unit cell a=4.246 b=4.246 c=9.446 alpha=90.00 beta=90.00 gamma=90.00
Space group P4/nmm (No. 129, origin choice 2)
One atom of each set of equivalent atoms:
La1 0.250 0.750 0.000 x2
Ho1 0.250 0.250 0.404 x2
As1 0.250 0.250 0.773 x2
O1 0.250 0.750 0.500 x2

Properties
Its crystal system is tetragonal. As for the total magnetization: 0.01 Bohr magnetons per cell. For the calculated density, the calculation gives 7.698 g/cm3.


b.
This record from OQMD describes LaHoAsO after structural relaxation. The functional is GGA-PBE.

Unit cell a=4.452 b=4.452 c=9.111 alpha=90.00 beta=90.00 gamma=90.00
Space group P4/nmm (No. 129, origin choice 2)
One atom of each set of equivalent atoms:
La1 0.250 0.250 0.112 x2
Ho1 0.250 0.750 0.500 x2
As1 0.250 0.250 0.692 x2
O1 0.250 0.750 0.000 x2

Properties
Its crystal system is tetragonal. As for the total magnetization: 0.01 Bohr magnetons per cell. For the calculated density, the calculation gives 7.259 g/cm3.


Most stable to least stable, the ends of the list are b and a.